# Pr2NdCo3 (GGA-PBE, optimized geometry)
# - Theoretical density: 7.42 g/cm³
# - E_form: -26 kJ/mol of formula units
# - Fermi-level density of states: 0.5872 states/eV per atom
data_Pr2NdCo3
_chemical_formula_sum 'Pr8 Nd4 Co12'
_cell_length_a 14.2323
_cell_length_b 8.2067
_cell_length_c 4.6204
_cell_angle_alpha 90.00
_cell_angle_beta 90.00
_cell_angle_gamma 90.00
_space_group_name_H-M_alt 'C m c m'
_space_group_IT_number 63
_space_group_name_Hall '-C 2c 2'
loop_
_atom_site_label
_atom_site_type_symbol
_atom_site_fract_x
_atom_site_fract_y
_atom_site_fract_z
Pr1 Pr 0.1663 0.1671 0.2500
Nd1 Nd 0.0000 0.3341 0.7500
Co1 Co 0.0000 0.0000 0.0000
Co2 Co 0.1657 0.5000 0.0000

=====

# PrNdCo4 (GGA-PBE, optimized geometry)
# - Theoretical density: 8.75 g/cm³
# - E_form: -4 kJ/mol of formula units
# - Energy above the most stable polymorph in this dataset: 54.1 meV/atom
# - Fermi-level density of states: 1.7708 states/eV per atom
data_PrNdCo4
_chemical_formula_sum 'Pr4 Nd4 Co16'
_cell_length_a 7.3396
_cell_length_b 7.3396
_cell_length_c 7.3396
_cell_angle_alpha 90.00
_cell_angle_beta 90.00
_cell_angle_gamma 90.00
_space_group_name_H-M_alt 'F -4 3 m'
_space_group_IT_number 216
_space_group_name_Hall 'F -4 2 3'
loop_
_atom_site_label
_atom_site_type_symbol
_atom_site_fract_x
_atom_site_fract_y
_atom_site_fract_z
Pr1 Pr 0.0000 0.0000 0.0000
Nd1 Nd 0.2500 0.2500 0.2500
Co1 Co 0.1249 0.1249 0.6249

=====

# Pr2NdCo (GGA-PBE, optimized geometry)
# - Theoretical density: 6.96 g/cm³
# - E_form: -19 kJ/mol of formula units
# - Energy above the most stable polymorph in this dataset: 0.0 meV/atom
# - Fermi-level density of states: 1.3167 states/eV per atom
data_Pr2NdCo
_chemical_formula_sum 'Pr8 Nd4 Co4'
_cell_length_a 7.1475
_cell_length_b 10.0177
_cell_length_c 6.4610
_cell_angle_alpha 90.00
_cell_angle_beta 90.00
_cell_angle_gamma 90.00
_space_group_name_H-M_alt 'P n m a'
_space_group_IT_number 62
_space_group_name_Hall '-P 2ac 2n'
loop_
_atom_site_label
_atom_site_type_symbol
_atom_site_fract_x
_atom_site_fract_y
_atom_site_fract_z
Pr1 Pr 0.1698 0.0706 0.1758
Nd1 Nd 0.0458 0.2500 0.6511
Co1 Co 0.1168 0.7500 0.9406

=====

# Pr3Nd4Co4 (GGA-PBE, optimized geometry)
# - Theoretical density: 7.47 g/cm³
# - E_form: 54 kJ/mol of formula units
# - Fermi-level density of states: 1.1587 states/eV per atom
data_Pr3Nd4Co4
_chemical_formula_sum 'Pr6 Nd8 Co8'
_cell_length_a 4.7768
_cell_length_b 7.5397
_cell_length_c 15.2411
_cell_angle_alpha 90.00
_cell_angle_beta 90.00
_cell_angle_gamma 90.00
_space_group_name_H-M_alt 'I m m m'
_space_group_IT_number 71
_space_group_name_Hall '-I 2 2'
loop_
_atom_site_label
_atom_site_type_symbol
_atom_site_fract_x
_atom_site_fract_y
_atom_site_fract_z
Pr1 Pr 0.0000 0.0000 0.0000
Pr2 Pr 0.0000 0.5000 0.1051
Nd1 Nd 0.0000 0.2813 0.3311
Co1 Co 0.0000 0.0000 0.2017
Co2 Co 0.0000 0.1474 0.5000